The following is a DFT calculation (meta-GGA SCAN) of ZrAg3As at its PBEsol-relaxed geometry.

```
ZrAg3As
1.0
4.739 0.000 0.000
0.000 4.739 0.000
0.000 0.000 4.739
As Zr Ag
1 1 3
direct
0.000 0.000 0.000
0.500 0.500 0.500
0.000 0.500 0.000
0.000 0.000 0.500
0.500 0.000 0.000
```

- Polymorph energy (0 for the lowest one): 0.000 eV/atom
- Energy relative to the elements: 0.62 eV per atom
- SG: Pm-3m



The following is a DFT calculation (meta-GGA SCAN) of ZrAg2As at its PBEsol-relaxed geometry.

```
ZrAg2As
1.0
-0.641 2.459 1.395
-4.380 -0.303 -1.750
1.005 -3.884 4.432
As Zr Ag
1 1 2
direct
0.500 0.000 0.000
0.000 0.500 0.000
0.000 0.000 0.500
0.500 0.500 0.500
```

- Energy relative to the elements: -0.20 eV per atom
- SG: C2/m



The following is a DFT calculation (meta-GGA SCAN) of ZrAg2As at its PBEsol-relaxed geometry.

```
ZrAg2As
1.0
3.005 0.000 0.000
0.000 3.759 0.000
0.000 0.000 6.393
As Zr Ag
1 1 2
direct
0.000 0.000 0.511
0.500 0.500 0.737
0.000 0.000 0.016
0.500 0.500 0.236
```

- Energy relative to the elements: -0.24 eV per atom
- SG: Pmm2



The following is a DFT calculation (meta-GGA SCAN) of Ag5Au at its PBEsol-relaxed geometry.

```
Ag5Au
1.0
-1.586 2.368 0.083
-1.862 -1.099 -4.186
-4.634 -4.938 3.358
Au Ag
1 5
direct
0.889 0.500 0.779
0.000 0.000 0.000
0.666 0.000 0.332
0.333 0.000 0.666
0.556 0.500 0.113
0.222 0.500 0.444
```

- Polymorph energy (0 for the lowest one): 0.012 eV/atom
- Energy relative to the elements: -0.03 eV per atom
- SG: Amm2



The following is a DFT calculation (meta-GGA SCAN) of Ag5Au at its PBEsol-relaxed geometry.

```
Ag5Au
1.0
2.847 0.000 0.000
-1.423 5.323 -0.014
0.000 -1.847 6.585
Au Ag
1 5
direct
0.723 0.446 0.945
0.000 0.001 0.000
0.389 0.779 0.279
0.666 0.332 0.333
0.055 0.110 0.610
0.333 0.666 0.666
```

- Polymorph energy (0 for the lowest one): 0.011 eV/atom
- Energy relative to the elements: -0.03 eV per atom
- SG: Cm



The following is a DFT calculation (meta-GGA SCAN) of Ag2Au3 at its PBEsol-relaxed geometry.

```
Ag2Au3
1.0
-0.444 -2.883 -4.083
4.415 -0.510 -3.204
2.256 -4.089 5.725
Ag Au
4 6
direct
0.185 0.463 0.098
0.550 0.537 0.902
0.337 0.963 0.402
0.898 0.037 0.598
0.722 0.941 0.199
0.464 0.059 0.801
0.773 0.441 0.301
0.914 0.559 0.699
0.078 0.000 0.000
0.328 0.500 0.500
```

- Polymorph energy (0 for the lowest one): 0.036 eV/atom
- Energy relative to the elements: -0.04 eV per atom
- SG: Fdd2



The following is a DFT calculation (meta-GGA SCAN) of Ag2Au3 at its PBEsol-relaxed geometry.

```
Ag2Au3
1.0
-1.593 -1.113 -2.138
3.061 -0.753 -3.842
1.407 -6.222 0.238
Au Ag
3 2
direct
0.099 0.200 0.602
0.500 0.000 0.000
0.901 0.800 0.398
0.301 0.600 0.799
0.699 0.400 0.201
```

- Polymorph energy (0 for the lowest one): 0.007 eV/atom
- Energy relative to the elements: -0.07 eV per atom
- SG: C2/m



The following is a DFT calculation (meta-GGA SCAN) of AgAu4 at its PBEsol-relaxed geometry.

```
AgAu4
1.0
4.063 0.000 0.000
2.032 4.547 0.000
2.032 0.000 4.547
Au Ag
4 1
direct
0.400 0.400 0.800
0.600 0.600 0.200
0.800 0.800 0.600
0.200 0.200 0.400
0.000 0.000 0.000
```

- Polymorph energy (0 for the lowest one): 0.000 eV/atom
- Energy relative to the elements: -0.05 eV per atom
- SG: I4/m